[1]
First-principles (GGA-PBE) data for TbScRu after structural relaxation, as listed in the Alexandria database.

a b c (Å): 5.361 4.772 5.612
angles (deg): 90.00 104.28 90.00
Element x y z (fractional)
Tb 0.214 0.250 0.406
Tb 0.786 0.750 0.594
Sc 0.331 0.750 0.987
Sc 0.669 0.250 0.013
Ru 0.119 0.250 0.871
Ru 0.881 0.750 0.129

Output
Formation energy from the elements (meV/atom): -329
Calculated volume (Å³ per atom): 23.19
Theoretical density (g/cm³): 7.28
Total magnetization (μB per atom): 0.0000
Relative energy among the computed polymorphs (eV/atom): 0.093



[2]
First-principles (GGA-PBE) data for CoSn2Mo after structural relaxation, as listed in the Alexandria database.

a b c (Å): 7.167 7.167 5.888
angles (deg): 90.00 90.00 90.00
Element x y z (fractional)
Co 0.000 0.000 0.000
Co 0.000 0.500 0.250
Co 0.500 0.000 0.750
Co 0.500 0.500 0.500
Sn 0.215 0.250 0.125
Sn 0.250 0.715 0.375
Sn 0.250 0.785 0.875
Sn 0.285 0.250 0.625
Sn 0.715 0.750 0.625
Sn 0.750 0.215 0.875
Sn 0.750 0.285 0.375
Sn 0.785 0.750 0.125
Mo 0.000 0.000 0.500
Mo 0.000 0.500 0.750
Mo 0.500 0.000 0.250
Mo 0.500 0.500 0.000

Output
Formation energy from the elements (meV/atom): 638
Calculated volume (Å³ per atom): 18.90
Theoretical density (g/cm³): 8.61
Total magnetization (μB per atom): 0.2498
Relative energy among the computed polymorphs (eV/atom): 0.326



[3]
First-principles (GGA-PBE) data for Cs2BaSiBr6 after structural relaxation, as listed in the Alexandria database.

a b c (Å): 8.381 8.381 8.381
angles (deg): 60.00 60.00 60.00
Element x y z (fractional)
Cs 0.250 0.250 0.250
Cs 0.750 0.750 0.750
Ba 0.000 0.000 0.000
Si 0.500 0.500 0.500
Br 0.267 0.267 0.733
Br 0.267 0.733 0.267
Br 0.267 0.733 0.733
Br 0.733 0.267 0.267
Br 0.733 0.267 0.733
Br 0.733 0.733 0.267

Output
Calculated volume (Å³ per atom): 41.63
Theoretical density (g/cm³): 3.63
Total magnetization (μB per atom): 0.0000
DFT total energy (eV/atom): -3.3498



[4]
First-principles (GGA-PBE) data for GeTe2W after structural relaxation, as listed in the Alexandria database.

a b c (Å): 3.026 3.026 36.760
angles (deg): 90.00 90.00 120.00
Element x y z (fractional)
Ge 0.000 0.000 0.000
Ge 0.333 0.667 0.667
Ge 0.667 0.333 0.333
Te 0.000 0.000 0.424
Te 0.000 0.000 0.576
Te 0.333 0.667 0.091
Te 0.333 0.667 0.243
Te 0.667 0.333 0.757
Te 0.667 0.333 0.909
W 0.000 0.000 0.500
W 0.333 0.667 0.167
W 0.667 0.333 0.833

Output
Calculated volume (Å³ per atom): 24.30
Theoretical density (g/cm³): 8.74
Total magnetization (μB per atom): 0.0000
DFT total energy (eV/atom): -5.0794